(1)
Density functional theory data (GGA-PBE) for a relaxed ScCoP2 crystal.

**Formation enthalpy at 0 K**: -2.6 eV per formula unit
**Fermi-level density of states**: 2.2 states/eV/f.u.
**Mass density**: 4.5 g/cm³

abc: 3.6895 5.3842 6.1043
angles: 90.00 90.00 90.00
Last column: nearest neighbours and their distance in Å.
Space group Immm (No. 71)
One atom of each set of equivalent atoms:
Sc (0.0000, 0.0000, 0.0000) [2 per cell]  4 P 2.62
Co (0.0000, 0.0000, 0.5000) [2 per cell]  4 P 2.20
P (0.0000, 0.5000, 0.1958) [4 per cell]  2 Co 2.20, 1 P 2.39

(2)
Density functional theory data (GGA-PBE) for a relaxed ScCoP crystal.

**Formation enthalpy at 0 K**: -3.4 eV per formula unit
**Fermi-level density of states**: 3.1 states/eV/f.u.
**Mass density**: 5.5 g/cm³

abc: 6.2660 3.7486 6.9974
angles: 90.00 90.00 90.00
Last column: nearest neighbours and their distance in Å.
Space group Pnma (No. 62)
One atom of each set of equivalent atoms:
Sc (0.0171, 0.2500, 0.1849) [4 per cell]  5 P 2.66-2.69, 6 Co 2.76-2.95
Co (0.1471, 0.2500, 0.5613) [4 per cell]  4 P 2.29-2.42
P (0.2203, 0.7500, 0.3854) [4 per cell]  4 Co 2.29-2.42

(3)
Density functional theory data (GGA-PBE) for a relaxed ScCo2P crystal.

**Formation enthalpy at 0 K**: -1.9 eV per formula unit
**Fermi-level density of states**: 2.0 states/eV/f.u.
**Mass density**: 6.3 g/cm³

abc: 3.5618 4.2587 6.7000
angles: 90.00 90.00 90.00
Last column: nearest neighbours and their distance in Å.
Space group Immm (No. 71)
One atom of each set of equivalent atoms:
Sc (0.0000, 0.0000, 0.0000) [2 per cell]  8 Co 2.56-2.63, 4 P 2.78
Co (0.0000, 0.5000, 0.2116) [4 per cell]  2 P 2.28
P (0.0000, 0.0000, 0.5000) [2 per cell]  4 Co 2.28

(4)
Density functional theory data (GGA-PBE) for a relaxed ScCo2P crystal.

**Formation enthalpy at 0 K**: -0.8 eV per formula unit
**Fermi-level density of states**: 6.5 states/eV/f.u.
**Mass density**: 6.1 g/cm³

abc: 5.9627 5.9627 5.9627
angles: 90.00 90.00 90.00
Last column: nearest neighbours and their distance in Å.
Space group F-43m (No. 216)
One atom of each set of equivalent atoms:
Sc (0.0000, 0.0000, 0.0000) [4 per cell]  4 P 2.58, 4 Co 2.58
Co (0.0000, 0.0000, 0.5000) [4 per cell]  4 Co 2.58, 4 P 2.58
Co (0.2500, 0.2500, 0.7500) [4 per cell]  4 Sc 2.58, 4 Co 2.58
P (0.2500, 0.2500, 0.2500) [4 per cell]  4 Co 2.58, 4 Sc 2.58

(5)
Density functional theory data (GGA-PBE) for a relaxed ScCoTcP2 crystal.

**Formation enthalpy at 0 K**: -4.4 eV per formula unit
**Fermi-level density of states**: 2.8 states/eV/f.u.
**Mass density**: 6.2 g/cm³

abc: 3.8971 3.8971 9.3575
angles: 90.00 90.00 90.00
Last column: nearest neighbours and their distance in Å.
Space group I-4m2 (No. 119)
One atom of each set of equivalent atoms:
Sc (0.0000, 0.0000, 0.0000) [2 per cell]  8 P 2.98, 4 Co 3.04, 4 Tc 3.04
Co (0.0000, 0.5000, 0.7500) [2 per cell]  4 P 2.29
Tc (0.0000, 0.5000, 0.2500) [2 per cell]  4 P 2.29
P (0.0000, 0.0000, 0.3781) [4 per cell]  1 P 2.28, 2 Tc 2.29, 2 Co 2.29

(6)
Density functional theory data (GGA-PBE) for a relaxed Co2PSe crystal.

**Fermi-level density of states**: 2.1 states/eV/f.u.
**E_form (uncorrected)**: -320 meV/atom
**Mass density**: 5.2 g/cm³

abc: 3.6280 3.6261 5.5575
angles: 90.00 92.75 90.00
Last column: nearest neighbours and their distance in Å.
Space group Pm (No. 6)
One atom of each set of equivalent atoms:
Co (0.0000, 0.0000, 0.0000) [1 per cell]  2 P 2.18, 2 Se 2.31
Co (0.4994, 0.5000, 0.9997) [1 per cell]  2 P 2.18, 2 Se 2.31
P (0.9835, 0.5000, 0.7831) [1 per cell]  4 Co 2.18
Se (0.5191, 0.0000, 0.2575) [1 per cell]  4 Co 2.31

Question: Look up the Fermi-level density of states of the sixth one.
Answer: 2.1 states/eV/f.u.

Question: Among the records above, which one has the highest mass density?
Answer: number 3

Question: Which of these has the lowest Fermi-level density of states?
Answer: number 3